This record from Alexandria describes Er2BeGa3Ni4 after structural relaxation. The functional is PBE.

Geometry as POSCAR:
```
Er2BeGa3Ni4
1.0
-3.091 1.141 -1.942
1.018 -2.233 -2.933
-5.554 -7.982 4.149
Ni Er Ga Be
4 2 3 1
Cartesian
0.000 0.000 0.000
-1.037 -0.546 -2.438
-1.524 -4.038 0.052
-5.067 -4.490 1.660
-3.569 -6.977 1.580
-3.022 -1.551 0.132
-2.777 -3.991 2.075
-6.338 -6.317 2.610
-0.252 -2.210 -0.898
-3.813 -4.537 -0.363
```

- Spin magnetization: 0.0 μB/f.u.
- Formation energy: -0.492 eV/atom
- ρ: 8.5 g/cm3

This record from Alexandria describes K2PaGeO6 after structural relaxation. The functional is PBE.

Geometry as POSCAR:
```
K2PaGeO6
1.0
-2.694 1.151 -5.032
4.870 -1.313 -2.908
-0.121 -4.009 -4.221
K O Pa Ge
2 6 1 1
Cartesian
2.919 -2.702 -5.549
-0.863 -1.470 -6.611
-0.692 0.499 -4.470
1.536 -2.242 -8.072
2.868 -0.661 -3.470
1.480 -4.128 -10.059
0.576 -0.043 -2.101
0.519 -1.930 -4.088
4.870 -1.313 -2.908
1.088 -0.081 -3.970
```

- Spin magnetization: 1.1 μB/f.u.
- ρ: 5.7 g/cm3
- Energy relative to the elements, uncorrected: -2.2395 eV per atom

This record from Alexandria describes TiZn2Cr after structural relaxation. The functional is PBE.

Geometry as POSCAR:
```
TiZn2Cr
1.0
-0.980 0.635 3.932
-0.130 -3.658 0.559
3.593 0.009 0.894
Zn Ti Cr
2 1 1
Cartesian
-0.065 -1.829 0.279
1.797 0.005 0.447
1.242 -1.507 2.692
-0.490 0.318 1.966
```

- Spin magnetization: 0.7 μB/f.u.
- Formation energy: -0.004 eV/atom
- ρ: 6.8 g/cm3
- E above lowest polymorph: 0 meV/atom

This record from Alexandria describes Na2Mg2Pd after structural relaxation. The functional is PBE.

Geometry as POSCAR:
```
Na2Mg2Pd
1.0
-2.356 -1.632 2.330
-2.038 -1.144 -2.861
2.387 -8.569 -0.660
Pd Mg Na
1 2 2
Cartesian
0.000 0.000 0.000
-1.449 -2.559 -0.330
-0.558 -8.785 -0.861
-0.924 -5.550 -1.893
-1.083 -5.794 0.703
```

- Spin magnetization: 0.0 μB/f.u.
- Formation energy: 0.155 eV/atom
- ρ: 2.9 g/cm3
- E above lowest polymorph: 224 meV/atom